[1]
Below is crystalline LaCu4Sb at its relaxed geometry, with properties calculated at the GGA-PBE level.

**E_form (uncorrected)**: -0.14 eV per atom
**Energy**: -26.3 eV/cell

Cell lengths 5.313, 5.313, 5.313 Å; angles 60.00, 60.00, 60.00 degrees
Element x y z (fractional)
1 La 0.000 0.000 0.000
2 Cu 0.376 0.376 0.376
3 Cu 0.376 0.376 0.873
4 Cu 0.376 0.873 0.376
5 Cu 0.873 0.376 0.376
6 Sb 0.750 0.750 0.750

***

[2]
Below is crystalline La4Cu5Sb8 at its relaxed geometry, with properties calculated at the GGA-PBE level.

**E_form (uncorrected)**: -0.67 eV per atom
**Energy**: -84.6 eV/cell

Cell lengths 4.445, 4.445, 20.935 Å; angles 90.00, 90.00, 90.00 degrees
Element x y z (fractional)
1 La 0.000 0.000 0.000
2 La 0.000 0.000 0.486
3 La 0.500 0.500 0.245
4 La 0.500 0.500 0.747
5 Cu 0.000 0.000 0.686
6 Cu 0.000 0.500 0.367
7 Cu 0.000 0.500 0.875
8 Cu 0.500 0.000 0.367
9 Cu 0.500 0.000 0.875
10 Sb 0.000 0.000 0.295
11 Sb 0.000 0.000 0.806
12 Sb 0.000 0.500 0.122
13 Sb 0.000 0.500 0.614
14 Sb 0.500 0.000 0.122
15 Sb 0.500 0.000 0.614
16 Sb 0.500 0.500 0.441
17 Sb 0.500 0.500 0.948

***

[3]
Below is crystalline LaCu2Sb at its relaxed geometry, with properties calculated at the GGA-PBE level.

**E_form (uncorrected)**: -0.10 eV per atom
**Energy**: -17.7 eV/cell

Cell lengths 3.661, 3.661, 6.448 Å; angles 90.00, 90.00, 90.00 degrees
Element x y z (fractional)
1 La 0.000 0.000 0.000
2 Cu 0.500 0.500 0.291
3 Cu 0.500 0.500 0.709
4 Sb 0.000 0.000 0.500

***

[4]
Below is crystalline LaCu2Sb at its relaxed geometry, with properties calculated at the GGA-PBE level.

**E_form (uncorrected)**: -0.12 eV per atom
**Energy**: -17.7 eV/cell

Cell lengths 3.420, 3.420, 7.151 Å; angles 90.00, 90.00, 90.00 degrees
Element x y z (fractional)
1 La 0.000 0.000 0.000
2 Cu 0.000 0.000 0.566
3 Cu 0.500 0.500 0.708
4 Sb 0.500 0.500 0.333

***

[5]
Below is crystalline LaCu2Sb2 at its relaxed geometry, with properties calculated at the GGA-PBE level.

**E_form (uncorrected)**: -0.13 eV per atom
**Energy**: -44.0 eV/cell

Cell lengths 8.207, 8.207, 3.304 Å; angles 90.00, 90.00, 90.00 degrees
Element x y z (fractional)
1 La 0.000 0.000 0.000
2 La 0.500 0.500 0.000
3 Cu 0.143 0.357 0.500
4 Cu 0.357 0.857 0.500
5 Cu 0.643 0.143 0.500
6 Cu 0.857 0.643 0.500
7 Sb 0.145 0.645 0.000
8 Sb 0.355 0.145 0.000
9 Sb 0.645 0.855 0.000
10 Sb 0.855 0.355 0.000

***

[6]
Below is crystalline La2CuSb2 at its relaxed geometry, with properties calculated at the GGA-PBE level.

**E_form (uncorrected)**: -0.44 eV per atom
**Energy**: -24.4 eV/cell

Cell lengths 6.280, 6.280, 6.280 Å; angles 119.61, 119.61, 90.67 degrees
Element x y z (fractional)
1 La 0.250 0.750 0.500
2 La 0.750 0.250 0.500
3 Cu 0.000 0.000 0.000
4 Sb 0.291 0.291 0.000
5 Sb 0.709 0.709 0.000